1.
## CaTa2Cr (PBE-GGA)

Data for an optimized crystal structure of CaTa2Cr.

Properties
The value obtained for the density is 9.782 g cm⁻³. For the electronic total energy, the calculation gives -8.3438 eV/atom. The size of the total moment comes out at 0.000 μB per atom. The formation energy is 0.489 eV per atom. The symmetry is No. 65. The calculation puts the energy above the most stable polymorph in this dataset at 0.06 eV per formula unit.

abc: 2.948 2.948 9.531
angles: 90.00 90.00 111.50
Sites, in units of the cell vectors:
Cr 0.500 0.500 0.750
Ta 0.000 0.000 0.551
Ta 0.000 0.000 0.949
Ca 0.500 0.500 0.250


2.
## Pm2PrDy2Er2 (PBE-GGA)

Data for an optimized crystal structure of Pm2PrDy2Er2.

Properties
The value obtained for the density is 7.696 g cm⁻³. For the electronic total energy, the calculation gives -4.4879 eV/atom. The size of the total moment comes out at 0.092 μB per atom. The formation energy is 0.171 eV per atom. The symmetry is No. 12.

abc: 3.483 14.425 18.311
angles: 163.57 90.00 96.93
Sites, in units of the cell vectors:
Pr 0.000 0.000 0.500
Pm 0.571 0.141 0.775
Pm 0.429 0.859 0.225
Dy 0.870 0.740 0.962
Dy 0.130 0.260 0.038
Er 0.773 0.547 0.617
Er 0.227 0.453 0.383


3.
## LiCeN (PBE-GGA)

Data for an optimized crystal structure of LiCeN.

Properties
The value obtained for the density is 5.906 g cm⁻³. For the electronic total energy, the calculation gives -5.4811 eV/atom. The size of the total moment comes out at 0.222 μB per atom. The symmetry is No. 107. For the uncorrected formation energy, the calculation gives -0.090 eV per atom.

abc: 3.731 3.731 4.188
angles: 116.45 116.45 90.00
Sites, in units of the cell vectors:
Li 0.978 0.978 0.956
N 0.267 0.267 0.534
Ce 0.605 0.605 0.210


4.
## Pu2F5 (PBE-GGA)

Data for an optimized crystal structure of Pu2F5.

Properties
The value obtained for the density is 9.870 g cm⁻³. For the electronic total energy, the calculation gives -8.8833 eV/atom. The size of the total moment comes out at 1.571 μB per atom. The symmetry is No. 72. The calculation puts the energy above the most stable polymorph in this dataset at 0.00 eV per formula unit. For the uncorrected formation energy, the calculation gives -3.452 eV per atom.

abc: 5.299 6.109 7.285
angles: 114.79 111.33 90.00
Sites, in units of the cell vectors:
F 0.421 0.071 0.841
F 0.988 0.738 0.476
F 0.921 0.770 0.841
F 0.512 0.262 0.524
F 0.012 0.262 0.524
F 0.579 0.929 0.159
F 0.750 0.500 0.000
F 0.250 0.500 0.000
F 0.488 0.738 0.476
F 0.079 0.230 0.159
Pu 0.878 0.122 0.757
Pu 0.622 0.365 0.243
Pu 0.122 0.878 0.243
Pu 0.378 0.635 0.757